First-principles (PBE-GGA) data for a relaxed structure of CuAgRu2, as listed in the Alexandria database. Values from VASP.

Quantum ESPRESSO input file:
```
&SYSTEM
  ibrav = 0, nat = 4, ntyp = 3
/
ATOMIC_SPECIES
Ru 101.07 Ru.upf
Ag 107.87 Ag.upf
Cu 63.55 Cu.upf
CELL_PARAMETERS angstrom
4.355 0.000 0.000
2.177 3.771 0.000
2.177 1.257 3.555
ATOMIC_POSITIONS crystal
Ru 0.000 0.000 0.000
Ru 0.250 0.250 0.250
Ag 0.500 0.500 0.500
Cu 0.750 0.750 0.750
```

- crystal system = cubic

***

First-principles (PBE-GGA) data for a relaxed structure of Cu2AgRu, as listed in the Alexandria database. Values from VASP.

Quantum ESPRESSO input file:
```
&SYSTEM
  ibrav = 0, nat = 4, ntyp = 3
/
ATOMIC_SPECIES
Ag 107.87 Ag.upf
Cu 63.55 Cu.upf
Ru 101.07 Ru.upf
CELL_PARAMETERS angstrom
2.671 0.000 0.000
0.000 4.726 0.000
0.000 0.000 4.537
ATOMIC_POSITIONS crystal
Ag 0.000 0.500 0.500
Cu 0.500 0.500 0.000
Cu 0.000 0.000 0.000
Ru 0.500 0.000 0.500
```

- crystal system = orthorhombic

***

First-principles (PBE-GGA) data for a relaxed structure of CuAgRu2, as listed in the Alexandria database. Values from VASP.

Quantum ESPRESSO input file:
```
&SYSTEM
  ibrav = 0, nat = 4, ntyp = 3
/
ATOMIC_SPECIES
Ag 107.87 Ag.upf
Ru 101.07 Ru.upf
Cu 63.55 Cu.upf
CELL_PARAMETERS angstrom
-2.405 4.128 1.505
0.403 -3.824 3.211
2.279 0.999 0.904
ATOMIC_POSITIONS crystal
Ag 0.500 0.000 0.500
Ru 0.000 0.000 0.000
Ru 0.500 0.500 0.000
Cu 0.000 0.500 0.500
```

- crystal system = orthorhombic

***

First-principles (PBE-GGA) data for a relaxed structure of Cu2AgRu, as listed in the Alexandria database. Values from VASP.

Quantum ESPRESSO input file:
```
&SYSTEM
  ibrav = 0, nat = 4, ntyp = 3
/
ATOMIC_SPECIES
Ru 101.07 Ru.upf
Cu 63.55 Cu.upf
Ag 107.87 Ag.upf
CELL_PARAMETERS angstrom
-2.683 -1.909 2.770
-4.247 0.588 -0.367
-2.513 -3.233 -1.320
ATOMIC_POSITIONS crystal
Ru 0.000 0.000 0.000
Cu 0.250 0.250 0.250
Cu 0.750 0.750 0.750
Ag 0.500 0.500 0.500
```

- crystal system = cubic

***

| no. | E_form (eV per atom) | distance to the lowest polymorph of the same formula (eV per atom) | total DFT energy (no corrections) (eV per cell) |
| --- | --- | --- | --- |
| 1 | 0.53 | 0.2949 | -23.37 |
| 2 | 0.43 | 0.1884 | -18.60 |
| 3 | 0.56 | 0.3249 | -23.25 |
| 4 | 0.39 | 0.1508 | -18.75 |